[1]
Computed, not measured: a relaxed Pu4IrPd crystal at the PBE-GGA level of DFT.

## Properties
energy above the lowest structure with this stoichiometry: 0.00 eV per formula unit
energy relative to the elements: -257 meV/atom
N(E_F): 22.8 states/eV/cell

Lattice parameters (Å, degrees): 5.196 4.705 5.800 60.01 88.63 78.00
Site moments in Bohr magnetons follow the coordinates.
Positions (direct):
Pu (0.515, 0.258, 0.608)  -4.40
Pu (0.540, 0.877, 0.316)  4.08
Pd (0.450, 0.587, 0.951)  0.03
Pu (0.963, 0.607, 0.193)  -4.09
Ir (0.047, 0.916, 0.539)  -0.02
Pu (0.993, 0.238, 0.882)  4.50


[2]
Computed, not measured: a relaxed Pu3Ir2Pd crystal at the PBE-GGA level of DFT.

## Properties
energy above the lowest structure with this stoichiometry: 0.00 eV per formula unit
energy relative to the elements: -444 meV/atom
N(E_F): 22.0 states/eV/cell

Lattice parameters (Å, degrees): 3.430 3.430 10.551 90.00 90.00 90.00
Site moments in Bohr magnetons follow the coordinates.
Positions (direct):
Pu (0.000, 0.000, 0.679)  5.13
Pd (0.500, 0.500, 0.500)  -0.04
Ir (0.500, 0.500, 0.165)  -0.46
Ir (0.500, 0.500, 0.835)  -0.46
Pu (0.000, 0.000, 0.000)  5.05
Pu (0.000, 0.000, 0.321)  5.13


[3]
Computed, not measured: a relaxed Pu6IrPd5 crystal at the PBE-GGA level of DFT.

## Properties
energy relative to the elements: -397 meV/atom
N(E_F): 56.5 states/eV/cell

Lattice parameters (Å, degrees): 5.041 8.466 8.394 118.93 105.98 108.43
Site moments in Bohr magnetons follow the coordinates.
Positions (direct):
Pu (0.733, 0.245, 0.227)  5.17
Pu (0.180, 0.084, 0.405)  -5.09
Pd (0.551, 0.157, 0.806)  -0.01
Pd (0.912, 0.319, 0.647)  -0.02
Pu (0.820, 0.916, 0.595)  -5.09
Pu (0.712, 0.592, 0.927)  5.25
Pu (0.267, 0.755, 0.773)  5.17
Ir (0.000, 0.000, 0.000)  -0.16
Pd (0.449, 0.843, 0.194)  -0.01
Pd (0.088, 0.681, 0.353)  -0.02
Pu (0.288, 0.408, 0.073)  5.25
Pd (0.500, 0.500, 0.500)  0.01


[4]
Computed, not measured: a relaxed PuIr4Pd crystal at the PBE-GGA level of DFT.

## Properties
energy relative to the elements: -198 meV/atom
N(E_F): 9.0 states/eV/cell

Lattice parameters (Å, degrees): 5.255 5.255 5.255 60.00 60.00 60.00
Site moments in Bohr magnetons follow the coordinates.
Positions (direct):
Ir (0.124, 0.625, 0.625)  -0.45
Ir (0.625, 0.124, 0.625)  -0.45
Ir (0.625, 0.625, 0.625)  -0.45
Pu (0.250, 0.250, 0.250)  4.67
Ir (0.625, 0.625, 0.124)  -0.45
Pd (0.000, 0.000, 0.000)  -0.22


[5]
Computed, not measured: a relaxed PuScIrPd crystal at the PBE-GGA level of DFT.

## Properties
energy relative to the elements: -642 meV/atom
N(E_F): 9.0 states/eV/cell

Lattice parameters (Å, degrees): 4.776 4.776 4.776 60.00 60.00 60.00
Site moments in Bohr magnetons follow the coordinates.
Positions (direct):
Pd (0.750, 0.750, 0.750)  0.02
Pu (0.000, 0.000, 0.000)  5.08
Ir (0.250, 0.250, 0.250)  -0.12
Sc (0.500, 0.500, 0.500)  0.17


[6]
Computed, not measured: a relaxed Pu2Si6IrPd crystal at the PBE-GGA level of DFT.

## Properties
formation energy without anion corrections: -0.387 eV/atom
N(E_F): 21.3 states/eV/cell

Lattice parameters (Å, degrees): 5.863 5.863 13.038 77.01 77.01 60.00
Site moments in Bohr magnetons follow the coordinates.
Positions (direct):
Si (0.190, 0.783, 0.836)  -0.02
Si (0.661, 0.063, 0.616)  -0.01
Ir (0.578, 0.578, 0.266)  0.05
Pu (0.128, 0.128, 0.615)  5.25
Si (0.783, 0.190, 0.836)  -0.02
Si (0.217, 0.810, 0.164)  -0.02
Pd (0.500, 0.500, 0.500)  0.07
Si (0.810, 0.810, 0.164)  -0.02
Pu (0.277, 0.277, 0.169)  5.27
Si (0.190, 0.190, 0.836)  -0.02
Si (0.937, 0.339, 0.384)  -0.01
Pu (0.723, 0.723, 0.831)  5.27
Si (0.063, 0.661, 0.616)  -0.01
Si (0.810, 0.217, 0.164)  -0.02
Pd (0.000, 0.000, 0.000)  0.03
Si (0.339, 0.937, 0.384)  -0.01
Pu (0.872, 0.872, 0.385)  5.25
Si (0.661, 0.661, 0.616)  -0.01
Ir (0.422, 0.422, 0.734)  0.05
Si (0.339, 0.339, 0.384)  -0.01